Compound: Sr4Pa3CuN8
Source: the Alexandria database
Functional: PBE
Structure: relaxed

Geometry as CIF:
```
data_Sr4Pa3CuN8
_chemical_formula_sum 'Sr4 Pa3 Cu1 N8'
_cell_length_a 7.2569
_cell_length_b 7.2569
_cell_length_c 7.2569
_cell_angle_alpha 59.28
_cell_angle_beta 59.28
_cell_angle_gamma 59.28
_space_group_name_H-M_alt 'P 1'
_space_group_IT_number 1
_space_group_name_Hall 'P 1'
loop_
_atom_site_label
_atom_site_type_symbol
_atom_site_fract_x
_atom_site_fract_y
_atom_site_fract_z
Sr1 Sr 0.0000 0.0000 0.0000
Sr2 Sr 0.0000 0.5000 0.5000
Sr3 Sr 0.5000 0.0000 0.5000
Sr4 Sr 0.5000 0.5000 0.0000
Pa1 Pa 0.0000 0.0000 0.5000
Pa2 Pa 0.0000 0.5000 0.0000
Pa3 Pa 0.5000 0.0000 0.0000
Cu1 Cu 0.5000 0.5000 0.5000
N1 N 0.2001 0.7516 0.7516
N2 N 0.2357 0.2357 0.2357
N3 N 0.2484 0.2484 0.7999
N4 N 0.2484 0.7999 0.2484
N5 N 0.7516 0.2001 0.7516
N6 N 0.7516 0.7516 0.2001
N7 N 0.7643 0.7643 0.7643
N8 N 0.7999 0.2484 0.2484
```

Summary:
Calculated total energy   -123.12 eV per cell
Space-group type   No. 166
Fermi-level density of states   0.017 states/eV/atom
ΔE_f (raw)   -1.075 eV per atom

Compound: MnSbAu2
Source: the Alexandria database
Functional: PBE
Structure: relaxed

Geometry as CIF:
```
data_MnSbAu2
_chemical_formula_sum 'Mn1 Sb1 Au2'
_cell_length_a 4.7750
_cell_length_b 4.7750
_cell_length_c 4.7750
_cell_angle_alpha 60.00
_cell_angle_beta 60.00
_cell_angle_gamma 60.00
_space_group_name_H-M_alt 'P 1'
_space_group_IT_number 1
_space_group_name_Hall 'P 1'
loop_
_atom_site_label
_atom_site_type_symbol
_atom_site_fract_x
_atom_site_fract_y
_atom_site_fract_z
Mn1 Mn 0.0000 0.0000 0.0000
Sb1 Sb 0.2500 0.2500 0.2500
Au1 Au 0.5000 0.5000 0.5000
Au2 Au 0.7500 0.7500 0.7500
```

Summary:
Calculated total energy   -19.27 eV per cell
Space-group type   No. 216
Fermi-level density of states   0.574 states/eV/atom
ΔE_f (raw)   0.144 eV per atom

Compound: Pr2DyMg2
Source: the Alexandria database
Functional: PBE
Structure: relaxed

Geometry as CIF:
```
data_Pr2DyMg2
_chemical_formula_sum 'Pr2 Dy1 Mg2'
_cell_length_a 6.0703
_cell_length_b 6.0703
_cell_length_c 6.0703
_cell_angle_alpha 128.63
_cell_angle_beta 108.08
_cell_angle_gamma 93.75
_space_group_name_H-M_alt 'P 1'
_space_group_IT_number 1
_space_group_name_Hall 'P 1'
loop_
_atom_site_label
_atom_site_type_symbol
_atom_site_fract_x
_atom_site_fract_y
_atom_site_fract_z
Pr1 Pr 0.1943 0.1943 0.0000
Pr2 Pr 0.8057 0.8057 0.0000
Dy1 Dy 0.5000 0.0000 0.5000
Mg1 Mg 0.2089 0.5000 0.7089
Mg2 Mg 0.7911 0.5000 0.2911
```

Summary:
Calculated total energy   -17.20 eV per cell
ΔH_f (0 K)   31 meV/atom
Space-group type   No. 71
Fermi-level density of states   1.366 states/eV/atom

Compound: Th4HgPt2
Source: the Alexandria database
Functional: PBE
Structure: relaxed

Geometry as CIF:
```
data_Th4HgPt2
_chemical_formula_sum 'Th4 Hg1 Pt2'
_cell_length_a 12.9784
_cell_length_b 12.9784
_cell_length_c 12.9784
_cell_angle_alpha 19.22
_cell_angle_beta 19.22
_cell_angle_gamma 19.22
_space_group_name_H-M_alt 'P 1'
_space_group_IT_number 1
_space_group_name_Hall 'P 1'
loop_
_atom_site_label
_atom_site_type_symbol
_atom_site_fract_x
_atom_site_fract_y
_atom_site_fract_z
Th1 Th 0.1106 0.1106 0.1106
Th2 Th 0.3015 0.3015 0.3015
Th3 Th 0.6985 0.6985 0.6985
Th4 Th 0.8894 0.8894 0.8894
Hg1 Hg 0.5000 0.5000 0.5000
Pt1 Pt 0.4035 0.4035 0.4035
Pt2 Pt 0.5965 0.5965 0.5965
```

Summary:
Calculated total energy   -46.32 eV per cell
ΔH_f (0 K)   -609 meV/atom
Space-group type   No. 166
Fermi-level density of states   1.158 states/eV/atom